P | ## SrV2TeO8 (GGA+U)

Data for a geometry-optimized SrV2TeO8 structure.

The structure in POSCAR format:
```
SrV2TeO8
1.0
-7.906 -5.936 3.446
1.121 -10.522 -4.611
3.794 -6.097 12.018
Sr O V Te
8 64 16 8
Direct
0.444 0.651 0.629 Sr
0.556 0.349 0.371 Sr
0.924 0.180 0.434 Sr
0.426 0.658 0.129 Sr
0.926 0.169 0.934 Sr
0.076 0.820 0.566 Sr
0.074 0.831 0.066 Sr
0.574 0.342 0.871 Sr
0.937 0.841 0.761 O
0.042 0.466 0.388 O
0.805 0.167 0.786 O
0.214 0.622 0.087 O
0.958 0.534 0.612 O
0.776 0.875 0.133 O
0.314 0.233 0.668 O
0.146 0.466 0.785 O
0.111 0.687 0.889 O
0.224 0.125 0.867 O
0.566 0.816 0.078 O
0.908 0.303 0.603 O
0.789 0.381 0.379 O
0.423 0.400 0.589 O
0.434 0.184 0.922 O
0.963 0.062 0.099 O
0.213 0.132 0.372 O
0.517 0.055 0.132 O
0.787 0.868 0.628 O
0.416 0.390 0.061 O
0.275 0.467 0.452 O
0.029 0.946 0.399 O
0.195 0.833 0.214 O
0.584 0.610 0.939 O
0.725 0.533 0.548 O
0.378 0.507 0.809 O
0.470 0.946 0.367 O
0.432 0.184 0.420 O
0.734 0.943 0.938 O
0.889 0.313 0.111 O
0.076 0.157 0.737 O
0.458 0.733 0.788 O
0.092 0.697 0.397 O
0.269 0.058 0.562 O
0.622 0.493 0.191 O
0.530 0.054 0.633 O
0.344 0.796 0.986 O
0.573 0.257 0.711 O
0.212 0.833 0.715 O
0.277 0.508 0.249 O
0.568 0.816 0.580 O
0.427 0.743 0.289 O
0.211 0.619 0.621 O
0.345 0.787 0.490 O
0.723 0.492 0.751 O
0.266 0.057 0.062 O
0.788 0.167 0.285 O
0.854 0.534 0.215 O
0.786 0.378 0.913 O
0.686 0.767 0.332 O
0.924 0.843 0.263 O
0.037 0.938 0.901 O
0.731 0.942 0.438 O
0.656 0.204 0.014 O
0.300 0.236 0.168 O
0.817 0.557 0.018 O
0.483 0.945 0.868 O
0.542 0.267 0.212 O
0.971 0.054 0.601 O
0.063 0.159 0.239 O
0.700 0.764 0.832 O
0.655 0.213 0.510 O
0.183 0.443 0.982 O
0.577 0.600 0.411 O
0.076 0.825 0.817 V
0.924 0.175 0.183 V
0.506 0.233 0.114 V
0.170 0.529 0.373 V
0.207 0.523 0.867 V
0.483 0.766 0.381 V
0.793 0.477 0.133 V
0.651 0.918 0.068 V
0.830 0.471 0.627 V
0.349 0.082 0.932 V
0.061 0.831 0.320 V
0.343 0.084 0.431 V
0.939 0.169 0.680 V
0.494 0.767 0.886 V
0.517 0.234 0.619 V
0.657 0.916 0.569 V
0.727 0.918 0.800 Te
0.216 0.457 0.617 Te
0.285 0.078 0.699 Te
0.273 0.082 0.200 Te
0.212 0.463 0.118 Te
0.715 0.922 0.301 Te
0.784 0.543 0.383 Te
0.788 0.537 0.882 Te
```



Q | ## SrV2TeO8 (GGA+U)

Data for a geometry-optimized SrV2TeO8 structure.

The structure in POSCAR format:
```
SrV2TeO8
1.0
-3.526 2.017 3.467
-2.088 -3.673 3.266
5.505 1.214 5.020
O V Te Sr
8 2 1 1
Direct
0.271 0.780 0.214 O
0.220 0.729 0.786 O
0.780 0.271 0.214 O
0.723 0.723 0.422 O
0.277 0.277 0.578 O
0.765 0.765 0.051 O
0.235 0.235 0.949 O
0.729 0.220 0.786 O
0.636 0.636 0.226 V
0.364 0.364 0.774 V
0.000 0.000 0.000 Te
0.000 0.000 0.500 Sr
```



Calculated relative energies: P 0.000; Q 0.026, given in eV/atom